(1)
The following is a SCAN calculation of MgTa at its PBEsol-relaxed geometry, from Alexandria via LeMat-Bulk.

```
data_MgTa
_cell_length_a 4.160
_cell_length_b 4.160
_cell_length_c 8.454
_cell_angle_alpha 90.00
_cell_angle_beta 90.00
_cell_angle_gamma 90.00
_symmetry_space_group_name_H-M 'I 41/a m d'
_symmetry_Int_Tables_number 141
loop_
_symmetry_equiv_pos_as_xyz
'x,y,z'
'-x,-y,-z'
'-y+1/4,x+3/4,z+1/4'
'y+1/4,-x+3/4,-z+1/4'
'-x+1/2,-y,z+1/2'
'x+1/2,y,-z+1/2'
'y+1/4,-x+1/4,z+3/4'
'-y+1/4,x+1/4,-z+3/4'
'x,-y,-z'
'-x,y,z'
'-y+1/4,-x+1/4,-z+3/4'
'y+1/4,x+1/4,z+3/4'
'-x+1/2,y,-z+1/2'
'x+1/2,-y,z+1/2'
'y+1/4,x+3/4,-z+1/4'
'-y+1/4,-x+3/4,z+1/4'
'x+1/2,y+1/2,z+1/2'
'-x+1/2,-y+1/2,-z+1/2'
'-y+3/4,x+1/4,z+3/4'
'y+3/4,-x+1/4,-z+3/4'
'-x,-y+1/2,z'
'x,y+1/2,-z'
'y+3/4,-x+3/4,z+1/4'
'-y+3/4,x+3/4,-z+1/4'
'x+1/2,-y+1/2,-z+1/2'
'-x+1/2,y+1/2,z+1/2'
'-y+3/4,-x+3/4,-z+1/4'
'y+3/4,x+3/4,z+1/4'
'-x,y+1/2,-z'
'x,-y+1/2,z'
'y+3/4,x+1/4,-z+3/4'
'-y+3/4,-x+1/4,z+3/4'
loop_
_atom_site_label
_atom_site_type_symbol
_atom_site_fract_x
_atom_site_fract_y
_atom_site_fract_z
Mg1 Mg 0.000 0.250 0.375
Ta1 Ta 0.000 0.250 0.875
```

## Properties
calculated formation energy	0.44	eV/atom
theoretical density	9.32	g/cm3
E	-282.7	eV/cell
D(E_F)	8.66	states/eV per cell



(2)
The following is a SCAN calculation of MgTa at its PBEsol-relaxed geometry, from Alexandria via LeMat-Bulk.

```
data_MgTa
_cell_length_a 4.7356
_cell_length_b 4.7356
_cell_length_c 5.3281
_cell_angle_alpha 90.00
_cell_angle_beta 90.00
_cell_angle_gamma 120.00
_symmetry_space_group_name_H-M 'P 63/m m c'
_symmetry_Int_Tables_number 194
_symmetry_space_group_name_Hall '-P 6c 2c'
loop_
_atom_site_label
_atom_site_type_symbol
_atom_site_fract_x
_atom_site_fract_y
_atom_site_fract_z
Mg1 Mg 0.3333 0.6667 0.2500
Ta1 Ta 0.3333 0.6667 0.7500
```

## Properties
calculated formation energy	2.36	eV/atom
theoretical density	6.59	g/cm3
E	-133.7	eV/cell
D(E_F)	4.15	states/eV per cell